DFT (PBE) results for an optimized crystal structure of GaPd4Pt2.

Calculated values
The energy relative to the lowest polymorph listed for this composition is 0.61 eV/f.u. The formation energy is -0.194 eV/atom.

Lattice parameters (Å, degrees): 2.776 4.783 10.669 55.68 90.00 106.87
Fractional coordinates of all 7 atoms:
Pt 0.595 0.190 0.060
Pt 0.405 0.810 0.940
Pd 0.754 0.508 0.227
Pd 0.246 0.492 0.773
Pd 0.613 0.227 0.628
Pd 0.387 0.773 0.372
Ga 0.000 0.000 0.500